CoCu3Sn | Alexandria | PBE | relaxed; total magnetization = 1.5 μB per formula unit; total DFT energy (no corrections) = -3.929 eV/atom
1.0
-3.071 -1.564 -2.823
2.607 -3.498 -0.899
-1.902 -2.272 3.327
Co Sn Cu
1 1 3
Cartesian
0.000 0.000 0.000 Co
-1.183 -3.667 -0.198 Sn
1.304 -1.749 -0.449 Cu
-0.951 -1.136 1.663 Cu
-1.535 -0.782 -1.412 Cu

CoCu3Sn6 | Alexandria | PBE | relaxed; total magnetization = 0.0 μB per formula unit; total DFT energy (no corrections) = -4.307 eV/atom
1.0
-0.148 5.620 -3.971
2.033 -3.508 -5.040
-8.771 -2.104 -2.073
Co Cu Sn
2 6 12
Cartesian
-3.443 0.004 -5.542 Co
0.000 0.000 0.000 Co
-4.637 -1.392 -7.624 Cu
0.942 1.056 -4.505 Cu
-2.249 1.401 -3.460 Cu
-0.421 -2.730 -3.999 Cu
-4.385 -1.052 -1.036 Cu
-6.465 2.738 -7.085 Cu
-7.823 1.311 -5.139 Sn
-4.819 1.957 -4.629 Sn
-1.280 1.292 -5.953 Sn
-5.607 -1.284 -5.131 Sn
-2.067 -1.949 -6.455 Sn
0.937 -1.303 -5.945 Sn
-2.872 -1.295 -3.336 Sn
0.008 -0.436 -2.520 Sn
-4.764 -3.996 -7.054 Sn
-2.122 4.004 -4.030 Sn
-6.895 0.444 -8.564 Sn
-4.014 1.304 -7.748 Sn

Sr2CoCuSn | Alexandria | PBE | relaxed; total magnetization = 1.9 μB per formula unit; total DFT energy (no corrections) = -3.369 eV/atom
1.0
-4.916 0.314 3.137
2.036 -2.510 3.442
1.896 4.936 2.478
Sr Co Sn Cu
2 1 1 1
Cartesian
0.948 2.468 1.239 Sr
-2.458 0.157 1.568 Sr
-0.492 1.370 4.529 Co
1.018 -1.255 1.721 Sn
0.000 0.000 0.000 Cu

TmCoCuSn | Alexandria | PBE | relaxed; total magnetization = 0.4 μB per formula unit; total DFT energy (no corrections) = -5.193 eV/atom
1.0
4.582 0.000 0.000
2.291 3.968 0.000
2.291 1.323 3.741
Tm Co Sn Cu
1 1 1 1
Cartesian
6.873 3.968 2.806 Tm
4.582 2.645 1.871 Co
2.291 1.323 0.935 Sn
0.000 0.000 0.000 Cu

YCoCuSn | Alexandria | PBE | relaxed; total magnetization = 1.0 μB per formula unit; total DFT energy (no corrections) = -5.662 eV/atom
1.0
-2.214 3.983 0.871
-4.459 -0.057 1.280
-1.179 1.095 4.352
Y Co Sn Cu
1 1 1 1
Cartesian
-3.926 2.511 3.251 Y
-1.963 1.255 1.626 Co
0.000 0.000 0.000 Sn
-5.889 3.766 4.877 Cu

ZrCoCuSn2 | Alexandria | PBE | relaxed; total magnetization = 0.0 μB per formula unit; total DFT energy (no corrections) = -5.234 eV/atom
1.0
4.749 0.000 0.000
0.000 4.527 0.000
0.000 0.000 4.749
Cu Co Sn Zr
1 1 2 1
Cartesian
0.000 2.263 0.000 Cu
0.000 0.000 0.000 Co
0.000 0.000 2.375 Sn
2.375 0.000 0.000 Sn
2.375 2.263 2.375 Zr

ZrCoCuSn | Alexandria | PBE | relaxed; total magnetization = 0.0 μB per formula unit; total DFT energy (no corrections) = -6.242 eV/atom
1.0
-1.294 1.633 3.979
2.316 -1.026 3.709
2.469 3.145 2.047
Cu Co Sn Zr
1 1 1 1
Cartesian
1.746 1.876 4.868 Cu
0.000 0.000 0.000 Co
0.873 0.938 2.434 Sn
2.619 2.814 7.302 Zr

SrCo2Cu2 | Alexandria | PBE | relaxed; total magnetization = 3.1 μB per formula unit; total DFT energy (no corrections) = -4.511 eV/atom
1.0
3.908 0.000 0.000
0.000 3.908 0.000
1.954 1.954 5.538
Sr Co Cu
1 2 2
Cartesian
0.000 0.000 0.000 Sr
3.908 1.954 2.769 Co
1.954 3.908 2.769 Co
1.954 1.954 1.290 Cu
3.908 3.908 4.248 Cu